Entry 1:
A relaxed structure of K2LaW. Source: Alexandria, functional PBE.

abc: 3.0559 6.5845 6.3381
angles: 90.00 90.00 90.00
Site moments in Bohr magnetons follow the coordinates.
Atoms (fractional coordinates):
1 K 0.0000 0.0000 0.5169  0.01
2 W 0.5000 0.5000 0.7500  1.23
3 La 0.5000 0.5000 0.2500  0.02
4 K 0.0000 0.0000 0.9831  0.01

Excess energy over the best structure of this formula in the dataset ... 492 meV/atom
Crystal system ... orthorhombic
SG ... No. 47

---

Entry 2:
A relaxed structure of Sr2Zn. Source: Alexandria, functional PBE.

abc: 4.5149 4.5149 7.3974
angles: 90.00 90.00 120.00
Atoms (fractional coordinates):
1 Sr 0.3333 0.6667 0.5899
2 Sr 0.0000 0.0000 0.0767
3 Zn 0.6667 0.3333 0.3333

Crystal system ... trigonal
SG ... No. 164

---

Number 1: formation energy 1.392 eV per atom, magnetization 0.457 μB/atom. Number 2: formation energy -0.034 eV per atom, magnetization 0.000 μB/atom.